Entry 1:
15
Lattice="4.894 0.000 0.000 0.000 4.894 0.000 0.000 0.000 21.716" Properties=species:S:1:pos:R:3 comment="PBE Ba4Bi8Au3, relaxed" spacegroup="P-4m2, No. 115" ef_ev_per_atom=-0.468 pbc="T T T"
Ba 0.000 2.447 2.588
Ba 0.000 2.447 13.484
Ba 2.447 0.000 8.231
Ba 2.447 0.000 19.127
Bi 0.000 0.000 5.397
Bi 0.000 0.000 16.319
Bi 0.000 2.447 9.236
Bi 0.000 2.447 20.286
Bi 2.447 0.000 1.430
Bi 2.447 0.000 12.480
Bi 2.447 2.447 5.462
Bi 2.447 2.447 16.254
Au 0.000 0.000 0.000
Au 0.000 0.000 10.858
Au 2.447 2.447 10.858

Entry 2:
6
Lattice="0.000 3.820 3.820 3.820 0.000 3.820 3.820 3.820 0.000" Properties=species:S:1:pos:R:3 comment="PBE ThPaIr4, relaxed" spacegroup="F-43m, No. 216" ef_ev_per_atom=-0.796 pbc="T T T"
Th 0.000 0.000 0.000
Pa 1.910 1.910 1.910
Ir 4.773 2.867 2.867
Ir 2.867 4.773 2.867
Ir 2.867 2.867 4.773
Ir 4.773 4.773 4.773

Entry 3:
4
Lattice="4.190 0.000 0.000 0.000 4.190 0.000 0.000 0.000 6.729" Properties=species:S:1:pos:R:3 comment="PBE Tb2LuBi, relaxed" spacegroup="P4/mmm, No. 123" polymorph_energy_ev_per_fu=0.00 ef_ev_per_atom=-0.372 pbc="T T T"
Tb 0.000 0.000 1.628
Tb 0.000 0.000 5.101
Lu 2.095 2.095 3.365
Bi 2.095 2.095 0.000

Entry 4:
5
Lattice="4.863 0.000 0.000 0.000 4.863 0.000 0.000 0.000 4.863" Properties=species:S:1:pos:R:3 comment="PBE TiAs3H, relaxed" spacegroup="Pm-3m, No. 221" polymorph_energy_ev_per_fu=1.04 pbc="T T T"
Ti 0.000 0.000 0.000
As 0.000 0.000 2.431
As 0.000 2.431 0.000
As 2.431 0.000 0.000
H 2.431 2.431 2.431

Entry 5:
16
Lattice="2.719 -5.964 0.000 2.719 5.964 0.000 0.000 0.000 15.947" Properties=species:S:1:pos:R:3 comment="PBE Nd3Sm3Mg2, relaxed" spacegroup="Cmcm, No. 63" ef_ev_per_atom=0.059 pbc="T T T"
Nd 2.719 5.494 9.639
Nd 2.719 5.494 14.281
Nd 2.719 2.937 11.960
Nd 2.719 -2.937 3.987
Nd 2.719 -5.494 1.665
Nd 2.719 -5.494 6.308
Sm 2.719 1.732 8.463
Sm 2.719 1.732 15.457
Sm 2.719 0.330 3.987
Sm 2.719 -0.330 11.960
Sm 2.719 -1.732 0.490
Sm 2.719 -1.732 7.484
Mg 2.719 3.265 2.345
Mg 2.719 3.265 5.629
Mg 2.719 -3.265 10.318
Mg 2.719 -3.265 13.602

Entry 6:
12
Lattice="2.879 -4.990 0.000 2.879 4.990 0.000 -1.893 0.000 5.733" Properties=species:S:1:pos:R:3 comment="PBE Na3U2WN6, relaxed" spacegroup="C2/m, No. 12" e_form_raw_kj_per_mol_atoms=-78.9 pbc="T T T"
Na 0.000 0.000 0.000
Na 2.879 1.589 0.000
Na 2.879 -1.589 0.000
U 1.933 3.325 2.867
U 1.933 -3.325 2.867
W 1.933 0.000 2.867
N 1.009 1.596 1.784
N 0.089 0.000 3.952
N 1.009 -1.596 1.784
N 2.856 1.596 3.949
N 3.776 0.000 1.782
N 2.856 -1.596 3.949